1.
! PRhS2F | the Alexandria database | PBE | optimized geometry; values from VASP
&SYSTEM
  ibrav = 0, nat = 5, ntyp = 4
/
ATOMIC_SPECIES
P 30.97 P.upf
Rh 102.91 Rh.upf
S 32.06 S.upf
F 19.00 F.upf
CELL_PARAMETERS angstrom
4.727 0.000 0.000
0.000 4.727 0.000
0.000 0.000 4.496
ATOMIC_POSITIONS crystal
P 0.000 0.000 0.000
Rh 0.000 0.000 0.500
S 0.000 0.500 0.500
S 0.500 0.000 0.500
F 0.500 0.500 0.000
! Formation energy from raw total energies   0.4829 eV/atom
! Density of states at the Fermi level   4.25 states/eV/f.u.

=====

2.
! P2RhSF | the Alexandria database | PBE | optimized geometry; values from VASP
&SYSTEM
  ibrav = 0, nat = 5, ntyp = 4
/
ATOMIC_SPECIES
P 30.97 P.upf
Rh 102.91 Rh.upf
S 32.06 S.upf
F 19.00 F.upf
CELL_PARAMETERS angstrom
4.028 0.000 0.000
0.000 4.028 0.000
0.000 0.000 4.823
ATOMIC_POSITIONS crystal
P 0.000 0.500 0.000
P 0.500 0.000 0.000
Rh 0.000 0.000 0.500
S 0.500 0.500 0.500
F 0.500 0.500 0.000
! Formation energy from raw total energies   0.7997 eV/atom
! Density of states at the Fermi level   2.82 states/eV/f.u.

=====

3.
! P2RhSF | the Alexandria database | PBE | optimized geometry; values from VASP
&SYSTEM
  ibrav = 0, nat = 5, ntyp = 4
/
ATOMIC_SPECIES
P 30.97 P.upf
Rh 102.91 Rh.upf
S 32.06 S.upf
F 19.00 F.upf
CELL_PARAMETERS angstrom
4.533 0.000 0.000
0.000 4.533 0.000
0.000 0.000 4.807
ATOMIC_POSITIONS crystal
P 0.000 0.500 0.000
P 0.500 0.000 0.000
Rh 0.000 0.000 0.000
S 0.000 0.000 0.500
F 0.500 0.500 0.500
! Formation energy from raw total energies   0.4965 eV/atom
! Density of states at the Fermi level   5.62 states/eV/f.u.

=====

Question: What is the formation energy from raw total energies in the second record?
Answer: 0.7997 eV/atom